No. 1
Computed, not measured: ZrCuIr at its PBEsol-relaxed geometry at the meta-GGA SCAN level of DFT.

Computed properties:
DFT formation energy: -600 meV per atom
Crystal system: orthorhombic

Cell: 3.0987 3.6264 4.8001 Å, 112.19 108.83 90.00°
With the nearest neighbours (Å) after each atom.
Atoms (fractional coordinates):
Ir  0.6668  0.6668  0.3335  5 Zr 2.74-2.81, 5 Cu 2.74-2.81
Zr  0.3292  0.3292  0.6584  5 Cu 2.71-2.79, 5 Ir 2.74-2.81
Cu  0.0040  0.0040  0.0081  5 Zr 2.71-2.79, 5 Ir 2.74-2.81


No. 2
Computed, not measured: ZrCu4Ir at its PBEsol-relaxed geometry at the meta-GGA SCAN level of DFT.

Computed properties:
DFT formation energy: -329 meV per atom
Crystal system: cubic

Cell: 4.7949 4.7949 4.7949 Å, 60.00 60.00 60.00°
With the nearest neighbours (Å) after each atom.
Atoms (fractional coordinates):
Cu  0.3756  0.3756  0.3756  6 Cu 2.39-2.41
Cu  0.3756  0.3756  0.8733  6 Cu 2.39-2.41
Cu  0.8733  0.3756  0.3756  6 Cu 2.39-2.41
Cu  0.3756  0.8733  0.3756  6 Cu 2.39-2.41
Ir  0.7500  0.7500  0.7500  12 Cu 2.81, 4 Zr 2.94
Zr  0.0000  0.0000  0.0000  12 Cu 2.81, 4 Ir 2.94